Entry 1:
CdGaAu | PBE-GGA | optimized geometry

Computed properties:
Crystal system = tetragonal
SG = I4mm (107)
DFT formation energy = -93.6 meV/atom

extended XYZ file:
```
3
Lattice="-0.794 -0.605 3.589 1.220 -3.505 -0.321 3.663 3.307 -0.566" Properties=species:S:1:pos:R:3 pbc="T T T"
Au 3.707 -0.927 2.597
Ga 1.092 -1.771 1.876
Cd 2.218 0.716 0.611
```

---

Entry 2:
Na2Tl2S | PBE-GGA | optimized geometry

Computed properties:
ΔE to the lowest computed polymorph = 0.0 meV per atom
ΔE_f (raw) = -0.17 eV/atom
Crystal system = tetragonal
SG = P4/mbm (127)

extended XYZ file:
```
10
Lattice="7.732 0.000 0.000 0.000 7.732 0.000 0.000 0.000 4.882" Properties=species:S:1:pos:R:3 pbc="T T T"
Na 1.298 5.164 2.441
Na 5.164 6.434 2.441
Na 6.434 2.568 2.441
Na 2.568 1.298 2.441
Tl 2.746 6.611 0.000
Tl 6.611 4.986 0.000
Tl 4.986 1.120 0.000
Tl 1.120 2.746 0.000
S 0.000 0.000 0.000
S 3.866 3.866 0.000
```